[1]
# ScAl4GaIr

A relaxed structure of ScAl4GaIr (PBE-GGA, OQMD).

## Properties
Crystal system   tetragonal
Magnetic moment   0.001 μB per atom
Final energy   -5.38 eV/atom

abc: 4.2255 4.2255 6.7309
angles: 90.00 90.00 90.00
Closest atoms and distances in Å follow each position.
Fractional coordinates of all 7 atoms:
1 Al 0.5000 0.0000 0.2969  2 Ir 2.52, 1 Al 2.73
2 Al 0.0000 0.5000 0.2969  2 Ir 2.52, 1 Al 2.73
3 Al 0.5000 0.0000 0.7031  2 Ir 2.52, 1 Al 2.73
4 Al 0.0000 0.5000 0.7031  2 Ir 2.52, 1 Al 2.73
5 Ga 0.0000 0.0000 0.0000  8 Al 2.91, 4 Sc 2.99
6 Ir 0.5000 0.5000 0.5000  8 Al 2.52
7 Sc 0.5000 0.5000 0.0000  8 Al 2.91, 4 Ga 2.99

---

[2]
# AlGaHgSe3S

A relaxed structure of AlGaHgSe3S (PBE-GGA, OQMD).

## Properties
Crystal system   triclinic
Final energy   -3.71 eV/atom

abc: 5.7947 5.8484 6.7317
angles: 64.28 64.86 89.21
Closest atoms and distances in Å follow each position.
Fractional coordinates of all 7 atoms:
1 Al 0.7445 0.2468 0.4952  1 S 2.28, 3 Se 2.43
2 Ga 0.5020 0.4936 0.0053  1 S 2.32, 3 Se 2.45
3 Hg 0.9975 0.0018 0.0012  1 S 2.63, 3 Se 2.69-2.70
4 S 0.6036 0.1440 0.2698  1 Al 2.28, 1 Ga 2.32
5 Se 0.1270 0.5871 0.2883  1 Al 2.43, 1 Ga 2.45, 1 Hg 2.70
6 Se 0.8750 0.8626 0.7200  1 Al 2.43, 1 Ga 2.45, 1 Hg 2.69
7 Se 0.4005 0.4141 0.7203  1 Al 2.43, 1 Ga 2.45, 1 Hg 2.70

---

[3]
# NdLuGa2Pd4

A relaxed structure of NdLuGa2Pd4 (PBE-GGA, OQMD).

## Properties
Crystal system   hexagonal
Magnetic moment   0.000 μB per atom
Final energy   -5.38 eV/atom

abc: 4.4155 4.4155 9.1392
angles: 90.00 90.00 120.00
Closest atoms and distances in Å follow each position.
Fractional coordinates of all 8 atoms:
1 Ga 0.0000 0.0000 0.2577  6 Pd 2.64-2.66
2 Ga 0.0000 0.0000 0.7423  6 Pd 2.64-2.66
3 Lu 0.6667 0.3333 0.5000  8 Pd 2.90-2.94
4 Nd 0.3333 0.6667 0.0000  8 Pd 3.05-3.10
5 Pd 0.6667 0.3333 0.1826  3 Ga 2.64, 1 Lu 2.90, 3 Pd 2.92
6 Pd 0.3333 0.6667 0.3390  3 Ga 2.66, 4 Pd 2.92-2.94, 3 Lu 2.94
7 Pd 0.3333 0.6667 0.6610  3 Ga 2.66, 4 Pd 2.92-2.94, 3 Lu 2.94
8 Pd 0.6667 0.3333 0.8174  3 Ga 2.64, 1 Lu 2.90, 3 Pd 2.92

---

[4]
# GdTh

A relaxed structure of GdTh (PBE-GGA, OQMD).

## Properties
Crystal system   cubic
Energy relative to the lowest polymorph listed for this composition   1924.7 meV per atom
Magnetic moment   0.008 μB per atom
Final energy   -4.05 eV/atom

abc: 4.8508 4.8508 4.8508
angles: 60.00 60.00 60.00
Closest atoms and distances in Å follow each position.
Fractional coordinates of all 2 atoms:
1 Gd 0.0000 0.0000 0.0000  4 Th 2.97
2 Th 0.2500 0.2500 0.2500  4 Gd 2.97